Entry 1:
YNi2Se | the Alexandria database | SCAN | PBEsol geometry; density of states at the Fermi level = 1.21 states/eV/atom; E = -20.64 eV per atom; ΔE_f (raw) = -570 meV per atom
1.0
-3.747 -1.097 -0.765
-0.878 -3.843 -0.536
-2.351 -2.106 4.189
Ni Y Se
2 1 1
direct
0.036 0.036 0.891
0.753 0.753 0.741
0.253 0.253 0.240
0.457 0.457 0.628

Entry 2:
MgInO2 | the Alexandria database | SCAN | PBEsol geometry; density of states at the Fermi level = 0.28 states/eV/atom; E = -13.84 eV per atom; ΔE_f (raw) = -1134 meV per atom; ΔE to the lowest computed polymorph = 504 meV per atom
1.0
4.061 0.000 0.000
2.030 3.517 0.000
2.030 1.172 3.316
Mg In O
1 1 2
direct
0.000 0.000 0.000
0.500 0.500 0.500
0.750 0.750 0.750
0.250 0.250 0.250

Entry 3:
P2IrCO | the Alexandria database | SCAN | PBEsol geometry; density of states at the Fermi level = 0.65 states/eV/atom; E = -20.10 eV per atom; ΔE_f (raw) = 1548 meV per atom
1.0
-3.515 -0.858 0.013
0.666 -2.785 -3.653
0.877 -3.547 2.864
O P Ir C
1 2 1 1
direct
0.500 0.000 0.000
0.000 0.000 0.500
0.000 0.500 0.000
0.000 0.000 0.000
0.500 0.500 0.500

Entry 4:
GaReI2N | the Alexandria database | SCAN | PBEsol geometry; density of states at the Fermi level = 0.37 states/eV/atom; E = -33.65 eV per atom; ΔE_f (raw) = 392 meV per atom
1.0
3.775 0.000 0.000
0.000 5.550 0.000
0.000 0.000 5.550
I N Ga Re
2 1 1 1
direct
0.000 0.000 0.500
0.000 0.500 0.000
0.500 0.000 0.000
0.500 0.500 0.500
0.000 0.000 0.000

Entry 5:
CaHg2Te | the Alexandria database | SCAN | PBEsol geometry; density of states at the Fermi level = 0.10 states/eV/atom; E = -46.54 eV per atom; ΔE_f (raw) = -724 meV per atom
1.0
-1.215 -3.929 1.236
3.129 -0.042 2.941
-4.661 4.381 1.886
Te Hg Ca
1 2 1
direct
0.000 0.000 0.000
0.750 0.250 0.500
0.250 0.750 0.500
0.500 0.500 0.000

Entry 6:
HoGaPd | the Alexandria database | SCAN | PBEsol geometry; density of states at the Fermi level = 0.48 states/eV/atom; E = -33.72 eV per atom; ΔE_f = -1.0215 eV per atom
1.0
-1.809 3.953 -0.646
-6.172 -2.838 -0.079
-0.540 0.967 7.425
Pd Ho Ga
4 4 4
direct
0.250 0.281 0.904
0.750 0.719 0.096
0.750 0.219 0.404
0.250 0.781 0.596
0.250 0.017 0.198
0.250 0.517 0.302
0.750 0.983 0.802
0.750 0.483 0.698
0.250 0.675 0.924
0.250 0.175 0.576
0.750 0.325 0.076
0.750 0.825 0.424